1.
PBE-GGA Pm6Tl3Hg, optimized geometry; ΔH_f (0 K) = -0.30 eV per atom; space-group type = P2_1/m, No. 11; N(E_F) = 22.79 states/eV per cell; ΔE to the lowest computed polymorph = 0.00 eV/f.u.; total magnetic moment = 0.00 μB/f.u.; calculated volume = 29.82 Å³ per atom
1.0
9.6015 0.0000 0.0000
0.0000 5.4402 0.0000
-3.5560 0.0000 11.4164
Pm Tl Hg
12 6 2
direct
0.0335 0.2500 0.4079 Pm
0.1613 0.7500 0.1784 Pm
0.2573 0.2500 0.9994 Pm
0.3502 0.7500 0.8130 Pm
0.3701 0.2500 0.3441 Pm
0.4053 0.2500 0.6193 Pm
0.5947 0.7500 0.3807 Pm
0.6299 0.7500 0.6559 Pm
0.6498 0.2500 0.1870 Pm
0.7427 0.7500 0.0006 Pm
0.8387 0.2500 0.8216 Pm
0.9665 0.7500 0.5921 Pm
0.0319 0.7500 0.8850 Tl
0.1271 0.2500 0.7154 Tl
0.2717 0.7500 0.4728 Tl
0.7283 0.2500 0.5272 Tl
0.8729 0.7500 0.2846 Tl
0.9681 0.2500 0.1150 Tl
0.4542 0.7500 0.1056 Hg
0.5458 0.2500 0.8944 Hg

2.
PBE-GGA MgIr2Ru, optimized geometry; ΔH_f (0 K) = -0.07 eV per atom; space-group type = I-4m2, No. 119; N(E_F) = 3.98 states/eV per cell; total magnetic moment = 0.00 μB/f.u.; calculated volume = 14.66 Å³ per atom
1.0
-1.9279 1.9279 3.9428
1.9279 -1.9279 3.9428
1.9279 1.9279 -3.9428
Mg Ir Ru
1 2 1
direct
0.0000 0.0000 0.0000 Mg
0.5000 0.5000 0.0000 Ir
0.7500 0.2500 0.5000 Ir
0.2500 0.7500 0.5000 Ru

3.
PBE-GGA Pm2Dy2Sb3, optimized geometry; space-group type = P-1, No. 2; N(E_F) = 2.89 states/eV per cell; ΔE to the lowest computed polymorph = 0.98 eV/f.u.; raw formation energy = -6.16 eV/f.u.; total magnetic moment = 0.00 μB/f.u.; calculated volume = 33.15 Å³ per atom
1.0
4.3669 0.0000 0.0000
2.1780 7.1462 0.0000
0.0013 1.1310 7.4365
Pm Dy Sb
2 2 3
direct
0.1215 0.2587 0.3837 Pm
0.8785 0.7413 0.6163 Pm
0.3751 0.7501 0.1236 Dy
0.6249 0.2499 0.8764 Dy
0.0000 0.5000 0.0000 Sb
0.2526 0.9933 0.7524 Sb
0.7474 0.0067 0.2476 Sb

4.
PBE-GGA Cu2HgCl3, optimized geometry; space-group type = C2/m, No. 12; N(E_F) = 10.18 states/eV per cell; ΔE to the lowest computed polymorph = 0.00 eV/f.u.; raw formation energy = -2.59 eV/f.u.; total magnetic moment = 0.00 μB/f.u.; calculated volume = 27.53 Å³ per atom
1.0
9.8136 -1.9319 0.0000
9.8136 1.9319 0.0000
-2.5805 0.0000 8.7116
Cu Hg Cl
4 2 6
direct
0.0388 0.0388 0.1559 Cu
0.2964 0.2964 0.6585 Cu
0.7036 0.7036 0.3415 Cu
0.9612 0.9612 0.8441 Cu
0.3006 0.3006 0.9744 Hg
0.6994 0.6994 0.0256 Hg
0.0829 0.0829 0.9338 Cl
0.2676 0.2676 0.3537 Cl
0.4168 0.4168 0.7108 Cl
0.5832 0.5832 0.2892 Cl
0.7324 0.7324 0.6463 Cl
0.9171 0.9171 0.0662 Cl

5.
PBE-GGA Ba3In2Hg5Sb2, optimized geometry; space-group type = I4/mmm, No. 139; N(E_F) = 5.35 states/eV per cell; raw formation energy = -4.82 eV/f.u.; total magnetic moment = 0.00 μB/f.u.; calculated volume = 36.45 Å³ per atom
1.0
-2.4983 2.4983 17.5224
2.4983 -2.4983 17.5224
2.4983 2.4983 -17.5224
Ba In Hg Sb
3 2 5 2
direct
0.0000 0.0000 0.0000 Ba
0.1967 0.1967 0.0000 Ba
0.8033 0.8033 0.0000 Ba
0.3755 0.3755 0.0000 In
0.6245 0.6245 0.0000 In
0.0735 0.5735 0.5000 Hg
0.4265 0.9265 0.5000 Hg
0.5000 0.5000 0.0000 Hg
0.5735 0.0735 0.5000 Hg
0.9265 0.4265 0.5000 Hg
0.2963 0.2963 0.0000 Sb
0.7037 0.7037 0.0000 Sb

6.
PBE-GGA Li2RhPb, optimized geometry; ΔH_f (0 K) = -0.15 eV per atom; space-group type = Pmmm, No. 47; N(E_F) = 2.18 states/eV per cell; total magnetic moment = 0.00 μB/f.u.; calculated volume = 16.48 Å³ per atom
1.0
3.2189 0.0000 0.0000
0.0000 3.6685 0.0000
0.0000 0.0000 5.5816
Li Rh Pb
2 1 1
direct
0.0000 0.0000 0.2089 Li
0.0000 0.0000 0.7911 Li
0.5000 0.5000 0.0000 Rh
0.5000 0.5000 0.5000 Pb

Repeat the second record exactly.
PBE-GGA MgIr2Ru, optimized geometry; ΔH_f (0 K) = -0.07 eV per atom; space-group type = I-4m2, No. 119; N(E_F) = 3.98 states/eV per cell; total magnetic moment = 0.00 μB/f.u.; calculated volume = 14.66 Å³ per atom
1.0
-1.9279 1.9279 3.9428
1.9279 -1.9279 3.9428
1.9279 1.9279 -3.9428
Mg Ir Ru
1 2 1
direct
0.0000 0.0000 0.0000 Mg
0.5000 0.5000 0.0000 Ir
0.7500 0.2500 0.5000 Ir
0.2500 0.7500 0.5000 Ru

Copy entry 3 word for word.
PBE-GGA Pm2Dy2Sb3, optimized geometry; space-group type = P-1, No. 2; N(E_F) = 2.89 states/eV per cell; ΔE to the lowest computed polymorph = 0.98 eV/f.u.; raw formation energy = -6.16 eV/f.u.; total magnetic moment = 0.00 μB/f.u.; calculated volume = 33.15 Å³ per atom
1.0
4.3669 0.0000 0.0000
2.1780 7.1462 0.0000
0.0013 1.1310 7.4365
Pm Dy Sb
2 2 3
direct
0.1215 0.2587 0.3837 Pm
0.8785 0.7413 0.6163 Pm
0.3751 0.7501 0.1236 Dy
0.6249 0.2499 0.8764 Dy
0.0000 0.5000 0.0000 Sb
0.2526 0.9933 0.7524 Sb
0.7474 0.0067 0.2476 Sb